[1]
Below is a geometry-optimized Na5AcTe4 structure, with properties calculated at the GGA-PBE level.

ΔE_f (raw) = -1.074 eV/atom
crystal system = monoclinic

Cell: 4.9716 8.0885 9.9306 Å, 94.66 104.50 90.00°
Last column: nearest neighbours and their distance in Å.
Positions (direct):
Na: 0.8798 0.3686 0.7596  3 Te 3.02-3.13
Na: 0.8145 0.9228 0.6290  4 Te 3.12-3.19
Na: 0.1855 0.0772 0.3710  4 Te 3.12-3.19
Na: 0.5000 0.5000 0.0000  4 Te 3.31, 4 Na 3.50
Na: 0.1202 0.6314 0.2403  3 Te 3.03-3.13
Ac: 0.5000 0.0000 0.0000  6 Te 3.34-3.38
Te: 0.3465 0.1640 0.6931  5 Na 3.02-3.19, 1 Ac 3.34
Te: 0.0502 0.2679 0.1005  5 Na 3.13-3.44, 2 Ac 3.38
Te: 0.6535 0.8360 0.3069  5 Na 3.03-3.19, 1 Ac 3.34
Te: 0.9498 0.7321 0.8995  5 Na 3.13-3.44, 2 Ac 3.38

---

[2]
Below is a geometry-optimized NaAc4Te5 structure, with properties calculated at the GGA-PBE level.

ΔE_f (raw) = -1.455 eV/atom
crystal system = tetragonal

Cell: 6.6693 8.1693 8.1693 Å, 80.41 65.91 65.91°
Last column: nearest neighbours and their distance in Å.
Positions (direct):
Na: 0.0017 0.0000 0.0000  6 Te 3.25-3.34
Ac: 0.4018 0.3996 0.7987  6 Te 3.33-3.41
Ac: 0.8014 0.7987 0.6004  6 Te 3.33-3.41
Ac: 0.2005 0.2013 0.3996  6 Te 3.33-3.41
Ac: 0.6001 0.6004 0.2013  6 Te 3.33-3.41
Te: 0.9036 0.3902 0.8044  1 Na 3.25, 5 Ac 3.33-3.41
Te: 0.2938 0.8044 0.6098  1 Na 3.25, 5 Ac 3.33-3.41
Te: 0.7080 0.1956 0.3902  1 Na 3.25, 5 Ac 3.33-3.41
Te: 0.0982 0.6098 0.1956  1 Na 3.25, 5 Ac 3.33-3.41
Te: 0.5012 0.0000 0.0000  2 Na 3.33-3.34, 4 Ac 3.34